Compound: K2LiZrF6
Source: Alexandria
Functional: GGA-PBE
Structure: optimized geometry

abc: 9.937 6.145 5.846
angles: 90.00 121.78 90.00
Space group C2/m (No. 12)
Unique sites:
K 0.247 0.000 0.251 [4 per cell]
Li 0.000 0.000 0.500 [2 per cell]
Zr 0.000 0.500 0.000 [2 per cell]
F 0.008 0.240 0.249 [8 per cell]
F 0.249 0.000 0.729 [4 per cell]

Summary:
Its uncorrected formation energy is -2941 kJ/mol of formula units. The calculation puts the magnetic moment at 2.0 Bohr magnetons per cell.